The following is a DFT calculation (PBE) of crystalline Mg2InIr at its relaxed geometry.

Cell lengths 3.193, 3.193, 7.415 Å; angles 90.00, 90.00, 90.00 degrees
Space group P4/mmm (No. 123)
Symmetry-distinct sites (fractional):
Mg: 0.000 0.000 0.198 x2
In: 0.500 0.500 0.500 x1
Ir: 0.500 0.500 0.000 x1

## Properties
Total magnetization (μB/cell): 0.00
N(E_F) (states/eV per cell): 1.5
E_form (eV/atom): -0.2691

---

The following is a DFT calculation (PBE) of crystalline Hf2BH at its relaxed geometry.

Cell lengths 3.468, 4.693, 6.508 Å; angles 90.00, 90.00, 90.00 degrees
Space group Pmmn (No. 59, origin choice 2)
Symmetry-distinct sites (fractional):
Hf: 0.250 0.250 0.111 x2
Hf: 0.250 0.250 0.626 x2
B: 0.250 0.750 0.142 x2
H: 0.250 0.750 0.631 x2

## Properties
Total magnetization (μB/cell): 0.00
N(E_F) (states/eV per cell): 2.5
Energy relative to the lowest polymorph listed for this composition (meV per atom): 0.0

---

The following is a DFT calculation (PBE) of crystalline V2InHIr at its relaxed geometry.

Cell lengths 4.775, 4.775, 5.142 Å; angles 90.00, 90.00, 90.00 degrees
Space group P4/mmm (No. 123)
Symmetry-distinct sites (fractional):
V: 0.000 0.500 0.000 x2
In: 0.000 0.000 0.500 x1
H: 0.500 0.500 0.500 x1
Ir: 0.000 0.000 0.000 x1

## Properties
Total magnetization (μB/cell): 4.83
N(E_F) (states/eV per cell): 5.3
Uncorrected energy (eV per atom): -5.517

---

The following is a DFT calculation (PBE) of crystalline Sm2Ge3SbIr4 at its relaxed geometry.

Cell lengths 4.288, 4.288, 10.450 Å; angles 90.00, 90.00, 90.00 degrees
Space group P-4m2 (No. 115)
Symmetry-distinct sites (fractional):
Sm: 0.000 0.500 0.243 x2
Ge: 0.000 0.500 0.872 x2
Ge: 0.500 0.500 0.500 x1
Sb: 0.000 0.000 0.500 x1
Ir: 0.000 0.000 0.000 x1
Ir: 0.000 0.500 0.639 x2
Ir: 0.500 0.500 0.000 x1

## Properties
E_form (uncorrected) (eV per formula unit): -7.09
Total magnetization (μB/cell): 0.00
N(E_F) (states/eV per cell): 4.5